w.
## Mg3ZnHg3 (PBE)

Data for a relaxed structure of Mg3ZnHg3.

Cell lengths 6.7684, 6.7684, 6.5890 Å; angles 90.08, 90.08, 89.88 degrees
Sites, in units of the cell vectors:
1 Mg 0.0028 0.0028 0.2395
2 Mg 0.0075 0.4929 0.2409
3 Mg 0.4929 0.0075 0.2409
4 Mg 0.5071 0.9925 0.7591
5 Mg 0.9925 0.5071 0.7591
6 Mg 0.9972 0.9972 0.7605
7 Zn 0.2642 0.2642 0.9865
8 Zn 0.7358 0.7358 0.0135
9 Hg 0.2660 0.7340 0.5000
10 Hg 0.2752 0.2752 0.5159
11 Hg 0.3166 0.6834 0.0000
12 Hg 0.6834 0.3166 0.0000
13 Hg 0.7248 0.7248 0.4841
14 Hg 0.7340 0.2660 0.5000


x.
## Mg3ZnHg3 (PBE)

Data for a relaxed structure of Mg3ZnHg3.

Cell lengths 8.0225, 8.0225, 5.3632 Å; angles 90.00, 90.00, 120.00 degrees
Sites, in units of the cell vectors:
1 Mg 0.0955 0.6331 0.2500
2 Mg 0.3669 0.4623 0.2500
3 Mg 0.4623 0.0955 0.7500
4 Mg 0.5377 0.9045 0.2500
5 Mg 0.6331 0.5377 0.7500
6 Mg 0.9045 0.3669 0.7500
7 Zn 0.3333 0.6667 0.7500
8 Zn 0.6667 0.3333 0.2500
9 Hg 0.0531 0.7883 0.7500
10 Hg 0.2117 0.2648 0.7500
11 Hg 0.2648 0.0531 0.2500
12 Hg 0.7352 0.9469 0.7500
13 Hg 0.7883 0.7352 0.2500
14 Hg 0.9469 0.2117 0.2500


Most stable: w (next structure +39 meV/atom)


w.
## Mg4ZnHg (PBE)

Data for a relaxed structure of Mg4ZnHg.

Cell lengths 3.4668, 3.6738, 9.7569 Å; angles 90.00, 90.00, 90.00 degrees
Sites, in units of the cell vectors:
1 Mg 0.0000 0.0000 0.1516
2 Mg 0.0000 0.0000 0.8484
3 Mg 0.5000 0.5000 0.3355
4 Mg 0.5000 0.5000 0.6645
5 Zn 0.5000 0.5000 0.0000
6 Hg 0.0000 0.0000 0.5000


x.
## Mg4ZnHg (PBE)

Data for a relaxed structure of Mg4ZnHg.

Cell lengths 4.5335, 4.5335, 6.8906 Å; angles 90.00, 90.00, 90.00 degrees
Sites, in units of the cell vectors:
1 Mg 0.0000 0.5000 0.2399
2 Mg 0.0000 0.5000 0.7601
3 Mg 0.5000 0.0000 0.2399
4 Mg 0.5000 0.0000 0.7601
5 Zn 0.0000 0.0000 0.0000
6 Hg 0.5000 0.5000 0.5000


y.
## Mg4ZnHg (PBE)

Data for a relaxed structure of Mg4ZnHg.

Cell lengths 5.7579, 5.7579, 5.7579 Å; angles 60.00, 60.00, 60.00 degrees
Sites, in units of the cell vectors:
1 Mg 0.1249 0.1249 0.1249
2 Mg 0.1249 0.1249 0.6252
3 Mg 0.1249 0.6252 0.1249
4 Mg 0.6252 0.1249 0.1249
5 Zn 0.7500 0.7500 0.7500
6 Hg 0.5000 0.5000 0.5000


Most stable: w (next structure +45 meV/atom)


w.
## MgZnHg3 (PBE)

Data for a relaxed structure of MgZnHg3.

Cell lengths 5.5549, 5.5549, 5.5549 Å; angles 90.00, 90.00, 90.00 degrees
Sites, in units of the cell vectors:
1 Mg 0.0000 0.0000 0.0000
2 Zn 0.5000 0.5000 0.5000
3 Hg 0.0000 0.0000 0.5000
4 Hg 0.0000 0.5000 0.0000
5 Hg 0.5000 0.0000 0.0000


x.
## MgZnHg3 (PBE)

Data for a relaxed structure of MgZnHg3.

Cell lengths 5.1850, 5.1850, 5.1850 Å; angles 90.00, 90.00, 90.00 degrees
Sites, in units of the cell vectors:
1 Mg 0.0000 0.0000 0.0000
2 Zn 0.5000 0.5000 0.5000
3 Hg 0.0000 0.5000 0.5000
4 Hg 0.5000 0.0000 0.5000
5 Hg 0.5000 0.5000 0.0000


Most stable: x (next structure +55 meV/atom)


w.
## Mg8ZnHg2 (PBE)

Data for a relaxed structure of Mg8ZnHg2.

Cell lengths 8.1609, 8.1609, 8.1609 Å; angles 146.80, 126.81, 64.15 degrees
Sites, in units of the cell vectors:
1 Mg 0.1212 0.3489 0.7723
2 Mg 0.1607 0.1607 0.0000
3 Mg 0.2825 0.0000 0.2825
4 Mg 0.4234 0.6511 0.7723
5 Mg 0.5766 0.3489 0.2277
6 Mg 0.7175 0.0000 0.7175
7 Mg 0.8393 0.8393 0.0000
8 Mg 0.8788 0.6511 0.2277
9 Zn 0.0000 0.5000 0.5000
10 Hg 0.3151 0.8151 0.5000
11 Hg 0.6849 0.1849 0.5000


x.
## Mg8ZnHg2 (PBE)

Data for a relaxed structure of Mg8ZnHg2.

Cell lengths 8.4024, 8.4024, 6.6547 Å; angles 111.62, 111.62, 33.00 degrees
Sites, in units of the cell vectors:
1 Mg 0.0187 0.0187 0.2779
2 Mg 0.1882 0.1882 0.7577
3 Mg 0.3400 0.3400 0.5674
4 Mg 0.3991 0.3991 0.0638
5 Mg 0.6009 0.6009 0.9362
6 Mg 0.6600 0.6600 0.4326
7 Mg 0.8118 0.8118 0.2423
8 Mg 0.9813 0.9813 0.7221
9 Zn 0.5000 0.5000 0.5000
10 Hg 0.1800 0.1800 0.1822
11 Hg 0.8200 0.8200 0.8178


Most stable: x (next structure +7 meV/atom)


w.
## Mg2ZrHg2 (PBE)

Data for a relaxed structure of Mg2ZrHg2.

Cell lengths 7.0476, 7.0476, 7.0476 Å; angles 145.72, 145.72, 49.27 degrees
Sites, in units of the cell vectors:
1 Mg 0.2500 0.7500 0.5000
2 Mg 0.7500 0.2500 0.5000
3 Zr 0.0000 0.0000 0.0000
4 Hg 0.3938 0.3938 0.0000
5 Hg 0.6062 0.6062 0.0000


x.
## Mg2ZrHg2 (PBE)

Data for a relaxed structure of Mg2ZrHg2.

Cell lengths 8.0869, 8.0869, 3.3145 Å; angles 90.00, 90.00, 90.00 degrees
Sites, in units of the cell vectors:
1 Mg 0.1630 0.3370 0.0000
2 Mg 0.3370 0.8370 0.0000
3 Mg 0.6630 0.1630 0.0000
4 Mg 0.8370 0.6630 0.0000
5 Zr 0.0000 0.0000 0.5000
6 Zr 0.5000 0.5000 0.5000
7 Hg 0.1387 0.6387 0.5000
8 Hg 0.3613 0.1387 0.5000
9 Hg 0.6387 0.8613 0.5000
10 Hg 0.8613 0.3613 0.5000


Most stable: x (next structure +114 meV/atom)


w.
## MgZr2Hg (PBE)

Data for a relaxed structure of MgZr2Hg.

Cell lengths 5.6761, 5.6761, 5.2815 Å; angles 99.89, 99.89, 31.83 degrees
Sites, in units of the cell vectors:
1 Mg 0.0000 0.0000 0.0000
2 Zr 0.2446 0.2446 0.7453
3 Zr 0.7554 0.7554 0.2547
4 Hg 0.5000 0.5000 0.5000


x.
## MgZr2Hg (PBE)

Data for a relaxed structure of MgZr2Hg.

Cell lengths 3.3245, 4.3701, 5.9644 Å; angles 90.00, 90.24, 90.00 degrees
Sites, in units of the cell vectors:
1 Mg 0.0000 0.0000 0.0000
2 Zr 0.4984 0.5000 0.7474
3 Zr 0.5016 0.5000 0.2526
4 Hg 0.0000 0.0000 0.5000


Most stable: x (next structure +51 meV/atom)


w.
## MgZr2Hg (PBE)

Data for a relaxed structure of MgZr2Hg.

Cell lengths 5.0249, 5.0249, 5.0249 Å; angles 60.00, 60.00, 60.00 degrees
Sites, in units of the cell vectors:
1 Mg 0.0000 0.0000 0.0000
2 Zr 0.2500 0.2500 0.2500
3 Zr 0.5000 0.5000 0.5000
4 Hg 0.7500 0.7500 0.7500


x.
## MgZr2Hg (PBE)

Data for a relaxed structure of MgZr2Hg.

Cell lengths 5.4894, 5.4894, 5.4894 Å; angles 133.44, 133.44, 67.96 degrees
Sites, in units of the cell vectors:
1 Mg 0.0000 0.0000 0.0000
2 Zr 0.2500 0.7500 0.5000
3 Zr 0.7500 0.2500 0.5000
4 Hg 0.5000 0.5000 0.0000


y.
## MgZr2Hg (PBE)

Data for a relaxed structure of MgZr2Hg.

Cell lengths 3.2501, 4.5117, 6.2454 Å; angles 90.00, 104.11, 90.00 degrees
Sites, in units of the cell vectors:
1 Mg 0.0000 0.0000 0.0000
2 Zr 0.2454 0.0000 0.5036
3 Zr 0.6138 0.5000 0.2341
4 Hg 0.8538 0.5000 0.7367


z.
## MgZr2Hg (PBE)

Data for a relaxed structure of MgZr2Hg.

Cell lengths 5.6237, 5.6237, 5.3599 Å; angles 110.71, 110.71, 33.75 degrees
Sites, in units of the cell vectors:
1 Mg 0.0000 0.0000 0.0000
2 Zr 0.2346 0.2346 0.6342
3 Zr 0.4820 0.4820 0.4902
4 Hg 0.7368 0.7368 0.1237


Most stable: x (next structure +7 meV/atom)


w.
## MgZr2Hg (PBE)

Data for a relaxed structure of MgZr2Hg.

Cell lengths 4.4992, 4.1702, 9.4184 Å; angles 90.00, 90.00, 90.00 degrees
Sites, in units of the cell vectors:
1 Mg 0.2500 0.0000 0.1155
2 Mg 0.7500 0.0000 0.8845
3 Zr 0.2500 0.0000 0.6230
4 Zr 0.2500 0.5000 0.3802
5 Zr 0.7500 0.0000 0.3770
6 Zr 0.7500 0.5000 0.6198
7 Hg 0.2500 0.5000 0.8731
8 Hg 0.7500 0.5000 0.1269


x.
## MgZr2Hg (PBE)

Data for a relaxed structure of MgZr2Hg.

Cell lengths 5.5378, 5.5378, 5.5378 Å; angles 133.99, 133.99, 67.11 degrees
Sites, in units of the cell vectors:
1 Mg 0.0000 0.0000 0.0000
2 Zr 0.2500 0.7500 0.5000
3 Zr 0.5000 0.5000 0.0000
4 Hg 0.7500 0.2500 0.5000


y.
## MgZr2Hg (PBE)

Data for a relaxed structure of MgZr2Hg.

Cell lengths 5.9969, 5.9969, 5.9969 Å; angles 148.71, 127.50, 62.40 degrees
Sites, in units of the cell vectors:
1 Mg 0.0000 0.0000 0.0000
2 Zr 0.4792 0.4792 0.0000
3 Zr 0.7309 0.2309 0.5000
4 Hg 0.2272 0.7272 0.5000


Most stable: w (next structure +88 meV/atom)


w.
## MgZrHg3 (PBE)

Data for a relaxed structure of MgZrHg3.

Cell lengths 5.0218, 5.0218, 5.0218 Å; angles 90.00, 90.00, 90.00 degrees
Sites, in units of the cell vectors:
1 Mg 0.0000 0.0000 0.0000
2 Zr 0.5000 0.5000 0.5000
3 Hg 0.0000 0.0000 0.5000
4 Hg 0.0000 0.5000 0.0000
5 Hg 0.5000 0.0000 0.0000


x.
## MgZrHg3 (PBE)

Data for a relaxed structure of MgZrHg3.

Cell lengths 8.5578, 8.5578, 5.1745 Å; angles 107.59, 107.59, 40.90 degrees
Sites, in units of the cell vectors:
1 Mg 0.1436 0.1436 0.3940
2 Mg 0.8564 0.8564 0.6060
3 Zr 0.4439 0.4439 0.1947
4 Zr 0.5561 0.5561 0.8053
5 Hg 0.0498 0.0498 0.7999
6 Hg 0.2453 0.2453 0.9962
7 Hg 0.3498 0.3498 0.6007
8 Hg 0.6502 0.6502 0.3993
9 Hg 0.7547 0.7547 0.0038
10 Hg 0.9502 0.9502 0.2001


Most stable: x (next structure +486 meV/atom)


w.
## Mn3Hg5 (PBE)

Data for a relaxed structure of Mn3Hg5.

Cell lengths 6.0389, 6.0389, 4.3607 Å; angles 90.00, 90.00, 96.46 degrees
Sites, in units of the cell vectors:
1 Mn 0.0000 0.0000 0.0000
2 Mn 0.2570 0.7430 0.5000
3 Mn 0.7430 0.2570 0.5000
4 Hg 0.0000 0.5000 0.0000
5 Hg 0.2253 0.2253 0.5000
6 Hg 0.5000 0.0000 0.0000
7 Hg 0.5000 0.5000 0.0000
8 Hg 0.7747 0.7747 0.5000


x.
## Mn3Hg5 (PBE)

Data for a relaxed structure of Mn3Hg5.

Cell lengths 8.0204, 8.0204, 5.9501 Å; angles 90.00, 90.00, 120.00 degrees
Sites, in units of the cell vectors:
1 Mn 0.0000 0.4137 0.2500
2 Mn 0.0000 0.5863 0.7500
3 Mn 0.4137 0.0000 0.2500
4 Mn 0.4137 0.4137 0.7500
5 Mn 0.5863 0.0000 0.7500
6 Mn 0.5863 0.5863 0.2500
7 Hg 0.0000 0.2281 0.7500
8 Hg 0.0000 0.7719 0.2500
9 Hg 0.2281 0.0000 0.7500
10 Hg 0.2281 0.2281 0.2500
11 Hg 0.3333 0.6667 0.0000
12 Hg 0.3333 0.6667 0.5000
13 Hg 0.6667 0.3333 0.0000
14 Hg 0.6667 0.3333 0.5000
15 Hg 0.7719 0.0000 0.2500
16 Hg 0.7719 0.7719 0.7500


Most stable: w (next structure +34 meV/atom)


w.
## Mn3Hg4 (PBE)

Data for a relaxed structure of Mn3Hg4.

Cell lengths 5.4293, 5.4293, 5.3927 Å; angles 90.00, 90.00, 120.00 degrees
Sites, in units of the cell vectors:
1 Mn 0.0000 0.5000 0.0000
2 Mn 0.5000 0.0000 0.0000
3 Mn 0.5000 0.5000 0.0000
4 Hg 0.0000 0.0000 0.2504
5 Hg 0.0000 0.0000 0.7496
6 Hg 0.3333 0.6667 0.5000
7 Hg 0.6667 0.3333 0.5000


x.
## Mn3Hg4 (PBE)

Data for a relaxed structure of Mn3Hg4.

Cell lengths 13.7731, 13.7731, 13.7731 Å; angles 166.94, 166.94, 18.50 degrees
Sites, in units of the cell vectors:
1 Mn 0.0000 0.0000 0.0000
2 Mn 0.2790 0.2790 0.0000
3 Mn 0.7210 0.7210 0.0000
4 Hg 0.1548 0.1548 0.0000
5 Hg 0.4315 0.4315 0.0000
6 Hg 0.5685 0.5685 0.0000
7 Hg 0.8452 0.8452 0.0000


Most stable: x (next structure +107 meV/atom)